## NaLaHgSe3 (GGA-PBE)

Data for an optimized crystal structure of NaLaHgSe3.

Summary:
As for the energy above the most stable polymorph in this dataset: 3 meV/atom. Its final energy is -4.003 eV per atom. The calculated volume is 27.74 Å³/atom.

a b c (Å): 4.398 12.108 12.502
angles (deg): 90.00 90.00 90.00
Element x y z (fractional)
La 0.750 0.525 0.813
Se 0.750 0.456 0.356
Se 0.250 0.913 0.564
Se 0.750 0.780 0.832
Se 0.250 0.044 0.856
La 0.250 0.975 0.313
La 0.250 0.475 0.187
Se 0.250 0.544 0.644
Na 0.250 0.843 0.000
Hg 0.250 0.753 0.704
Se 0.750 0.587 0.064
Se 0.750 0.280 0.668
Hg 0.750 0.747 0.204
Se 0.750 0.956 0.144
Se 0.750 0.087 0.436
La 0.750 0.025 0.687
Se 0.250 0.720 0.332
Na 0.750 0.157 0.000
Na 0.250 0.343 0.500
Na 0.750 0.657 0.500
Se 0.250 0.413 0.936
Hg 0.750 0.247 0.296
Hg 0.250 0.253 0.796
Se 0.250 0.220 0.168